No. 1
Ho3Se5 after structural relaxation, computed with GGA-PBE.

abc: 8.6918 8.6918 5.7825
angles: 90.00 90.00 120.00
Closest atoms and distances in Å follow each position.
Element x y z (fractional)
Ho 0.0000 0.3677 0.2500  9 Se 2.89-3.12
Ho 0.0000 0.6323 0.7500  9 Se 2.89-3.12
Ho 0.3677 0.0000 0.2500  9 Se 2.89-3.12
Ho 0.3677 0.3677 0.7500  9 Se 2.89-3.12
Ho 0.6323 0.0000 0.7500  9 Se 2.89-3.12
Ho 0.6323 0.6323 0.2500  9 Se 2.89-3.12
Se 0.0000 0.2777 0.7500  5 Ho 2.89-3.08
Se 0.0000 0.7223 0.2500  5 Ho 2.89-3.08
Se 0.2777 0.0000 0.7500  5 Ho 2.89-3.08
Se 0.2777 0.2777 0.2500  5 Ho 2.89-3.08
Se 0.3333 0.6667 0.0000  2 Se 2.89, 6 Ho 3.12
Se 0.3333 0.6667 0.5000  2 Se 2.89, 6 Ho 3.12
Se 0.6667 0.3333 0.0000  2 Se 2.89, 6 Ho 3.12
Se 0.6667 0.3333 0.5000  2 Se 2.89, 6 Ho 3.12
Se 0.7223 0.0000 0.2500  5 Ho 2.89-3.08
Se 0.7223 0.7223 0.7500  5 Ho 2.89-3.08

Summary:
D(E_F) = 1.25 states/eV/f.u.
Formation energy (no corrections) = -1.66 eV/atom
Space group = P6_3/mcm

=====

No. 2
Ho2Si2Se7 after structural relaxation, computed with GGA-PBE.

abc: 7.2937 7.2937 6.1718
angles: 97.62 97.62 101.10
Closest atoms and distances in Å follow each position.
Element x y z (fractional)
Ho 0.1993 0.8007 0.0000  6 Se 2.82-2.93
Ho 0.8007 0.1993 0.0000  6 Se 2.82-2.93
Si 0.2715 0.2715 0.5896  4 Se 2.29-2.30
Si 0.7285 0.7285 0.4104  4 Se 2.29-2.30
Se 0.0755 0.4208 0.7767  1 Si 2.30
Se 0.0966 0.0966 0.2681  1 Si 2.29
Se 0.4208 0.0755 0.7767  1 Si 2.30
Se 0.5000 0.5000 0.5000  2 Si 2.30
Se 0.5792 0.9245 0.2233  1 Si 2.30
Se 0.9034 0.9034 0.7319  1 Si 2.29
Se 0.9245 0.5792 0.2233  1 Si 2.30

Summary:
Formation energy (no corrections) = -0.89 eV/atom
Space group = C2/m

=====

No. 3
Ho6SiSe12 after structural relaxation, computed with GGA-PBE.

abc: 8.0246 8.0246 8.0246
angles: 98.88 98.88 98.88
Closest atoms and distances in Å follow each position.
Element x y z (fractional)
Ho 0.1309 0.2965 0.6339  7 Se 2.83-2.96
Ho 0.2965 0.6339 0.1309  7 Se 2.83-2.96
Ho 0.3661 0.8691 0.7035  7 Se 2.83-2.96
Ho 0.6339 0.1309 0.2965  7 Se 2.83-2.96
Ho 0.7035 0.3661 0.8691  7 Se 2.83-2.96
Ho 0.8691 0.7035 0.3661  7 Se 2.83-2.96
Si 0.0000 0.0000 0.0000  6 Se 2.50
Se 0.0217 0.9452 0.6897  1 Si 2.50
Se 0.0548 0.3103 0.9783  1 Si 2.50
Se 0.1821 0.5758 0.4370  4 Ho 2.83-2.95
Se 0.3103 0.9783 0.0548  1 Si 2.50
Se 0.4242 0.5630 0.8179  4 Ho 2.83-2.95
Se 0.4370 0.1821 0.5758  4 Ho 2.83-2.95
Se 0.5630 0.8179 0.4242  4 Ho 2.83-2.95
Se 0.5758 0.4370 0.1821  4 Ho 2.83-2.95
Se 0.6897 0.0217 0.9452  1 Si 2.50
Se 0.8179 0.4242 0.5630  4 Ho 2.83-2.95
Se 0.9452 0.6897 0.0217  1 Si 2.50
Se 0.9783 0.0548 0.3103  1 Si 2.50

Summary:
D(E_F) = 12.81 states/eV/f.u.
Formation energy (no corrections) = -1.42 eV/atom
Space group = R-3